This record from Alexandria via LeMat-Bulk describes a crystal of KHgSb2 relaxed with PBEsol. The functional is meta-GGA SCAN.

## Properties
M_tot in μB per cell: 0.00
Density of states at the Fermi level in states/eV per cell: 1.0
Calculated total energy in eV/atom: -37.958

Unit cell a=4.078 b=5.668 c=6.397 alpha=116.30 beta=108.59 gamma=90.00
Sites, in units of the cell vectors:
Sb  0.040  0.040  0.079
Sb  0.723  0.223  0.447
K  0.264  0.764  0.529
Hg  0.473  0.473  0.945